1.
A plane-wave DFT calculation with PBE-GGA was carried out for HgTeMo2 after structural relaxation.

As for the polymorph energy (0 for the lowest one): 592.3 meV/atom. The volume is 19.43 A^3/atom. The uncorrected formation energy is 0.875 eV per atom. The value obtained for the magnetic moment is 0.00 Bohr magnetons per cell.

The space group is Cmmm (No. 65) and the conventional cell measures 3.2510, 5.2401 and 9.1238 Å, with angles of 90.00, 90.00 and 90.00 degrees. The asymmetric unit holds Hg at (0.0000, 0.0000, 0.0000), Te at (0.0000, 0.0000, 0.5000) and Mo at (0.0000, 0.5000, 0.2638).

2.
A plane-wave DFT calculation with PBE-GGA was carried out for SiPSe after structural relaxation.

As for the polymorph energy (0 for the lowest one): 96.4 meV/atom. The volume is 23.12 A^3/atom. The uncorrected formation energy is 0.139 eV per atom. The value obtained for the magnetic moment is 0.00 Bohr magnetons per cell.

The space group is I4mm (No. 107) and the conventional cell measures 3.1073, 3.1073 and 14.3646 Å, with angles of 90.00, 90.00 and 90.00 degrees. The asymmetric unit holds Si at (0.0000, 0.0000, 0.0000), P at (0.0000, 0.0000, 0.5621) and Se at (0.0000, 0.0000, 0.8381).

3.
A plane-wave DFT calculation with PBE-GGA was carried out for TaW2Au after structural relaxation.

As for the polymorph energy (0 for the lowest one): 98.2 meV/atom. The volume is 16.79 A^3/atom. The value obtained for the magnetic moment is 0.00 Bohr magnetons per cell. The energy of formation comes out at 196 meV/atom.

The space group is P4/mmm (No. 123) and the conventional cell measures 3.9856, 3.9856 and 4.2283 Å, with angles of 90.00, 90.00 and 90.00 degrees. The asymmetric unit holds Ta at (0.0000, 0.0000, 0.0000), W at (0.0000, 0.5000, 0.5000) and Au at (0.5000, 0.5000, 0.0000).

4.
A plane-wave DFT calculation with PBE-GGA was carried out for YMoPb after structural relaxation.

As for the polymorph energy (0 for the lowest one): 426.7 meV/atom. The volume is 26.42 A^3/atom. The value obtained for the magnetic moment is 1.07 Bohr magnetons per cell. The energy of formation comes out at 634 meV/atom.

The space group is F-43m (No. 216) and the conventional cell measures 6.8185, 6.8185 and 6.8185 Å, with angles of 90.00, 90.00 and 90.00 degrees. The asymmetric unit holds Y at (0.0000, 0.0000, 0.0000), Mo at (0.0000, 0.0000, 0.5000) and Pb at (0.2500, 0.2500, 0.7500).

5.
A plane-wave DFT calculation with PBE-GGA was carried out for K2CoIr after structural relaxation.

As for the polymorph energy (0 for the lowest one): 1098.5 meV/atom. The volume is 26.68 A^3/atom. The value obtained for the magnetic moment is 10.31 Bohr magnetons per cell. The energy of formation comes out at 1562 meV/atom.

The space group is Fm-3m (No. 225) and the conventional cell measures 7.5293, 7.5293 and 7.5293 Å, with angles of 90.00, 90.00 and 90.00 degrees. The asymmetric unit holds K at (0.2500, 0.2500, 0.2500), Co at (0.0000, 0.0000, 0.0000) and Ir at (0.0000, 0.0000, 0.5000).

6.
A plane-wave DFT calculation with PBE-GGA was carried out for GaBOs3 after structural relaxation.

As for the polymorph energy (0 for the lowest one): 2490.4 meV/atom. The volume is 18.08 A^3/atom. The value obtained for the magnetic moment is 2.08 Bohr magnetons per cell. The energy of formation comes out at 2861 meV/atom.

The space group is Pm-3m (No. 221) and the conventional cell measures 4.4883, 4.4883 and 4.4883 Å, with angles of 90.00, 90.00 and 90.00 degrees. The asymmetric unit holds Ga at (0.0000, 0.0000, 0.0000), B at (0.5000, 0.5000, 0.5000) and Os at (0.0000, 0.0000, 0.5000).